Record 1
## NaSr2La (PBE)

Data for crystalline NaSr2La at its relaxed geometry.

energy above the lowest structure with this stoichiometry	14	meV per atom

Lattice parameters (Å, degrees): 4.0312 4.0312 13.1674 81.19 81.19 60.00
Fractional coordinates of all 4 atoms:
Sr 0.0842 0.0842 0.7473
Sr 0.2491 0.2491 0.2527
Na 0.6665 0.6665 0.0004
La 0.5001 0.5001 0.4996



Record 2
## La10In2C3 (PBE)

Data for crystalline La10In2C3 at its relaxed geometry.

Lattice parameters (Å, degrees): 7.3831 10.2517 12.9351 110.52 106.58 90.00
Fractional coordinates of all 30 atoms:
La 0.0000 0.0000 0.5000
La 0.5060 0.1813 0.0120
La 0.2390 0.5000 0.0000
La 0.7606 0.7070 0.5211
La 0.3826 0.4717 0.2888
La 0.0938 0.5283 0.7112
La 0.6174 0.5283 0.7112
La 0.1428 0.9412 0.7720
La 0.0210 0.1922 0.0420
La 0.4940 0.8187 0.9880
La 0.6291 0.9412 0.7720
La 0.2394 0.2930 0.4789
La 0.8768 0.2415 0.7536
La 0.1232 0.7585 0.2464
La 0.8572 0.0588 0.2280
La 0.3709 0.0588 0.2280
La 0.7610 0.5000 0.0000
La 0.9790 0.8078 0.9580
La 0.9062 0.4717 0.2888
La 0.5000 0.0000 0.5000
In 0.7359 0.2993 0.4718
In 0.2641 0.7007 0.5282
In 0.6261 0.7525 0.2521
In 0.3739 0.2475 0.7479
C 0.7372 0.0000 0.0000
C 0.9244 0.5164 0.8488
C 0.2628 0.0000 0.0000
C 0.0756 0.4836 0.1512
C 0.8181 0.9596 0.6361
C 0.1819 0.0404 0.3639



Record 3
## Ba2CuPdCl6 (PBE)

Data for crystalline Ba2CuPdCl6 at its relaxed geometry.

formation energy without anion corrections	-1570	meV/atom

Lattice parameters (Å, degrees): 10.5975 6.2321 8.5555 65.02 43.98 88.58
Each line ends with the local moment (μB).
Fractional coordinates of all 10 atoms:
Ba 0.6809 0.2612 0.5051  0.00
Ba 0.3192 0.7388 0.4948  0.00
Cl 0.0945 0.2643 0.0796  0.06
Cl 0.3674 0.2152 0.5341  0.06
Cl 0.3288 0.7165 0.1222  0.00
Cl 0.6712 0.2835 0.8778  0.00
Cl 0.6326 0.7848 0.4659  0.06
Cl 0.9055 0.7357 0.9204  0.06
Cu 0.5000 0.5000 0.0000  0.01
Pd 0.0000 0.0000 0.0000  0.67



Record 4
## KLaRe2 (PBE)

Data for crystalline KLaRe2 at its relaxed geometry.

energy above the lowest structure with this stoichiometry	477	meV per atom

Lattice parameters (Å, degrees): 5.2758 2.8652 7.8085 73.80 90.00 90.00
Fractional coordinates of all 4 atoms:
La 0.5000 0.7500 0.7500
Re 0.0000 0.0296 0.8989
Re 0.0000 0.4704 0.6011
K 0.5000 0.2500 0.2500



Record 5
## Li4CuHg (PBE)

Data for crystalline Li4CuHg at its relaxed geometry.

energy above the lowest structure with this stoichiometry	22	meV per atom

Lattice parameters (Å, degrees): 3.3125 3.3125 8.9452 90.00 90.00 90.00
Fractional coordinates of all 6 atoms:
Cu 0.0000 0.0000 0.0000
Li 0.5000 0.5000 0.1467
Li 0.5000 0.5000 0.8533
Li 0.0000 0.0000 0.6718
Li 0.0000 0.0000 0.3282
Hg 0.5000 0.5000 0.5000



Record 6
## Li2Cd4Rh (PBE)

Data for crystalline Li2Cd4Rh at its relaxed geometry.

energy above the lowest structure with this stoichiometry	0	meV per atom

Lattice parameters (Å, degrees): 5.6124 5.6124 5.6124 101.83 113.42 113.42
Fractional coordinates of all 7 atoms:
Rh 0.0000 0.0000 0.0000
Cd 0.5000 0.0000 0.0000
Cd 0.0000 0.5000 0.0000
Cd 0.0000 0.0000 0.5000
Cd 0.5000 0.5000 0.5000
Li 0.5000 0.0000 0.5000
Li 0.5000 0.5000 0.0000



Record 7
## YBeW2 (PBE)

Data for crystalline YBeW2 at its relaxed geometry.

Lattice parameters (Å, degrees): 5.0676 5.5975 2.8202 78.44 83.47 115.09
Fractional coordinates of all 4 atoms:
Y 0.0000 0.5000 0.5000
W 0.0000 0.0000 0.0000
W 0.5000 0.0000 0.5000
Be 0.5000 0.5000 0.0000



Record 8
## CeEr5Tl6 (PBE)

Data for crystalline CeEr5Tl6 at its relaxed geometry.

energy above the lowest structure with this stoichiometry	0	meV per atom

Lattice parameters (Å, degrees): 5.3877 7.5111 8.5334 90.00 71.65 90.00
Each line ends with the local moment (μB).
Fractional coordinates of all 12 atoms:
Er 0.6677 0.0000 0.6646  -0.05
Er 0.3372 0.5000 0.3255  0.01
Er 0.3323 0.0000 0.3354  -0.05
Er 0.0000 0.5000 0.0000  -0.04
Er 0.6628 0.5000 0.6745  0.01
Tl 0.1702 0.2558 0.6599  0.00
Tl 0.8298 0.2558 0.3401  0.00
Tl 0.8298 0.7442 0.3401  0.00
Tl 0.5000 0.7456 0.0000  -0.01
Tl 0.1702 0.7442 0.6599  0.00
Tl 0.5000 0.2544 0.0000  -0.01
Ce 0.0000 0.0000 0.0000  -0.92



| no. | energy (eV per atom) |
| --- | --- |
| 1 | -2.293 |
| 2 | -5.694 |
| 3 | -3.992 |
| 4 | -6.748 |
| 5 | -2.131 |
| 6 | -2.344 |
| 7 | -8.355 |
| 8 | -3.873 |